[1]
DFT (GGA-PBE) results for a geometry-optimized Rb2Sb2I structure.

**Relative energy among the computed polymorphs**: 0.087 eV/atom
**SG**: No. 127
**Calculated total energy**: -2.754 eV/atom
**Raw formation energy**: -0.41 eV/atom

a b c (Å): 10.876 10.876 3.631
angles (deg): 90.00 90.00 90.00
Sites, in units of the cell vectors:
Sb 0.088 0.588 0.500
Sb 0.412 0.088 0.500
Rb 0.205 0.295 0.000
I 0.500 0.500 0.000
Rb 0.705 0.205 0.000
Sb 0.588 0.912 0.500
Sb 0.912 0.412 0.500
Rb 0.795 0.705 0.000
Rb 0.295 0.795 0.000
I 0.000 0.000 0.000


[2]
DFT (GGA-PBE) results for a geometry-optimized B5C7 structure.

**Formation energy from the elements**: 357.6 meV/atom
**Relative energy among the computed polymorphs**: 0.100 eV/atom
**SG**: No. 8
**Calculated total energy**: -7.805 eV/atom

a b c (Å): 4.681 4.681 7.433
angles (deg): 113.24 113.24 32.41
Sites, in units of the cell vectors:
B 0.532 0.532 0.917
C 0.006 0.006 0.514
C 0.849 0.849 0.551
B 0.303 0.303 0.631
C 0.334 0.334 0.157
C 0.163 0.163 0.711
B 0.483 0.483 0.369
B 0.688 0.688 0.360
C 0.985 0.985 0.990
C 0.831 0.831 0.035
B 0.155 0.155 0.180
C 0.671 0.671 0.835


[3]
DFT (GGA-PBE) results for a geometry-optimized Cd2SiAg2 structure.

**Relative energy among the computed polymorphs**: 0.000 eV/atom
**SG**: No. 127
**Calculated total energy**: -2.369 eV/atom
**Raw formation energy**: 0.22 eV/atom

a b c (Å): 6.812 6.812 4.326
angles (deg): 90.00 90.00 90.00
Sites, in units of the cell vectors:
Ag 0.349 0.849 0.000
Ag 0.849 0.651 0.000
Si 0.500 0.500 0.000
Si 0.000 0.000 0.000
Cd 0.156 0.656 0.500
Cd 0.844 0.344 0.500
Cd 0.656 0.844 0.500
Ag 0.151 0.349 0.000
Cd 0.344 0.156 0.500
Ag 0.651 0.151 0.000


[4]
DFT (GGA-PBE) results for a geometry-optimized Sm3DyEr4 structure.

**Formation energy from the elements**: 15.9 meV/atom
**Relative energy among the computed polymorphs**: 0.000 eV/atom
**SG**: No. 31
**Calculated total energy**: -4.610 eV/atom

a b c (Å): 6.274 7.266 11.318
angles (deg): 90.00 90.00 90.00
Sites, in units of the cell vectors:
Er 0.981 0.122 0.249
Er 0.481 0.878 0.749
Sm 0.481 0.373 0.750
Er 0.481 0.878 0.251
Dy 0.647 0.629 0.500
Dy 0.147 0.371 0.000
Sm 0.647 0.627 0.000
Er 0.648 0.122 0.000
Sm 0.481 0.373 0.250
Er 0.648 0.123 0.500
Sm 0.147 0.373 0.500
Er 0.148 0.878 0.500
Er 0.148 0.877 0.000
Er 0.981 0.122 0.751
Sm 0.981 0.627 0.750
Sm 0.981 0.627 0.250


[5]
DFT (GGA-PBE) results for a geometry-optimized MgNiPb2 structure.

**Formation energy from the elements**: 309.5 meV/atom
**SG**: No. 122
**Calculated total energy**: -3.389 eV/atom

a b c (Å): 4.635 4.635 9.784
angles (deg): 76.30 76.30 90.00
Sites, in units of the cell vectors:
Pb 0.098 0.625 0.250
Mg 0.500 0.500 0.000
Mg 0.250 0.750 0.500
Pb 0.652 0.125 0.250
Pb 0.875 0.902 0.750
Pb 0.375 0.348 0.750
Ni 0.000 0.000 0.000
Ni 0.750 0.250 0.500


[6]
DFT (GGA-PBE) results for a geometry-optimized NaB4Pt4 structure.

**Formation energy from the elements**: -204.0 meV/atom
**SG**: No. 86
**Calculated total energy**: -6.003 eV/atom

a b c (Å): 3.975 7.861 7.861
angles (deg): 90.00 90.00 90.00
Sites, in units of the cell vectors:
Pt 0.393 0.332 0.899
Pt 0.607 0.899 0.668
Pt 0.893 0.601 0.832
B 0.605 0.162 0.720
B 0.105 0.780 0.662
Pt 0.107 0.168 0.601
Pt 0.107 0.832 0.399
B 0.895 0.662 0.220
B 0.395 0.280 0.162
B 0.105 0.220 0.338
Na 0.000 0.000 0.000
B 0.395 0.720 0.838
Pt 0.607 0.101 0.332
B 0.605 0.838 0.280
Pt 0.893 0.399 0.168
B 0.895 0.338 0.780
Na 0.500 0.500 0.500
Pt 0.393 0.668 0.101


[7]
DFT (GGA-PBE) results for a geometry-optimized TlCdPt2 structure.

**Formation energy from the elements**: -96.4 meV/atom
**SG**: No. 65
**Calculated total energy**: -3.937 eV/atom

a b c (Å): 4.576 4.576 3.587
angles (deg): 90.00 90.00 98.45
Sites, in units of the cell vectors:
Pt 0.000 0.000 0.000
Cd 0.000 0.500 0.500
Tl 0.500 0.000 0.500
Pt 0.500 0.500 0.000


[8]
DFT (GGA-PBE) results for a geometry-optimized SmCd2Ag structure.

**Formation energy from the elements**: -186.9 meV/atom
**SG**: No. 123
**Calculated total energy**: -2.537 eV/atom

a b c (Å): 4.836 4.480 4.480
angles (deg): 90.00 90.00 90.00
Sites, in units of the cell vectors:
Cd 0.000 0.500 0.000
Sm 0.500 0.500 0.500
Cd 0.000 0.000 0.500
Ag 0.500 0.000 0.000


[9]
DFT (GGA-PBE) results for a geometry-optimized Ce2DyHg structure.

**Formation energy from the elements**: -55.5 meV/atom
**Relative energy among the computed polymorphs**: 0.057 eV/atom
**SG**: No. 123
**Calculated total energy**: -4.248 eV/atom

a b c (Å): 3.406 3.406 9.927
angles (deg): 90.00 90.00 90.00
Sites, in units of the cell vectors:
Ce 0.000 0.000 0.768
Hg 0.500 0.500 0.000
Ce 0.000 0.000 0.232
Dy 0.500 0.500 0.500


[10]
DFT (GGA-PBE) results for a geometry-optimized BeMoBr2 structure.

**Relative energy among the computed polymorphs**: 0.071 eV/atom
**SG**: No. 12
**Calculated total energy**: -4.377 eV/atom
**Raw formation energy**: 0.10 eV/atom

a b c (Å): 8.234 8.234 3.545
angles (deg): 75.54 75.54 23.27
Sites, in units of the cell vectors:
Be 0.250 0.250 0.250
Mo 0.750 0.750 0.750
Br 0.119 0.119 0.902
Br 0.381 0.381 0.598


[11]
DFT (GGA-PBE) results for a geometry-optimized Sm3Er2Pb4 structure.

**Formation energy from the elements**: -420.0 meV/atom
**SG**: No. 71
**Calculated total energy**: -4.655 eV/atom

a b c (Å): 9.052 9.052 9.052
angles (deg): 146.52 137.14 55.45
Sites, in units of the cell vectors:
Pb 0.277 0.000 0.277
Er 0.838 0.838 0.000
Pb 0.748 0.248 0.500
Sm 0.616 0.616 0.000
Pb 0.723 0.000 0.723
Sm 0.384 0.384 0.000
Er 0.162 0.162 0.000
Pb 0.252 0.752 0.500
Sm 0.000 0.500 0.500


[12]
DFT (GGA-PBE) results for a geometry-optimized Pr2UTe5 structure.

**Relative energy among the computed polymorphs**: 0.033 eV/atom
**SG**: No. 55
**Calculated total energy**: -5.656 eV/atom
**Raw formation energy**: -1.09 eV/atom

a b c (Å): 4.441 8.754 13.700
angles (deg): 90.00 90.00 90.00
Sites, in units of the cell vectors:
Te 0.000 0.000 0.500
Te 0.500 0.827 0.899
Te 0.000 0.322 0.304
Pr 0.500 0.029 0.323
Te 0.000 0.822 0.196
Te 0.000 0.678 0.696
Te 0.500 0.327 0.601
Te 0.000 0.178 0.804
Te 0.500 0.173 0.101
Pr 0.500 0.471 0.823
Pr 0.500 0.529 0.177
Pr 0.500 0.971 0.677
Te 0.000 0.500 0.000
U 0.000 0.000 0.000
U 0.000 0.500 0.500
Te 0.500 0.673 0.399


Question: What is the calculated total energy in the seventh record?
Answer: -3.937 eV/atom


What did the first record say?
DFT (GGA-PBE) results for a geometry-optimized Rb2Sb2I structure.

**Relative energy among the computed polymorphs**: 0.087 eV/atom
**SG**: No. 127
**Calculated total energy**: -2.754 eV/atom
**Raw formation energy**: -0.41 eV/atom

a b c (Å): 10.876 10.876 3.631
angles (deg): 90.00 90.00 90.00
Sites, in units of the cell vectors:
Sb 0.088 0.588 0.500
Sb 0.412 0.088 0.500
Rb 0.205 0.295 0.000
I 0.500 0.500 0.000
Rb 0.705 0.205 0.000
Sb 0.588 0.912 0.500
Sb 0.912 0.412 0.500
Rb 0.795 0.705 0.000
Rb 0.295 0.795 0.000
I 0.000 0.000 0.000